The following is a DFT calculation (PBE) of a relaxed KScAl crystal.

## Properties
Its size of the total moment is 0.00 μB/f.u. The calculation puts the energy at -3.53 eV per atom. The density of states at the Fermi level is 2.63 states/eV/cell. As for the crystal system: tetragonal.

Cell lengths 8.0386, 8.0386, 8.0386 Å; angles 155.17, 155.17, 35.39 degrees
With the nearest neighbours (Å) after each atom.
Element x y z (fractional)
K 0.0000 0.0000 0.0000  4 K 3.46, 4 Al 3.67
Sc 0.7262 0.7262 0.0000  4 Al 2.84
Al 0.3212 0.3212 0.0000  4 Sc 2.84